# 1
VASP calculation (PBE-GGA) on a geometry-optimized LiLaTh2 structure.

```
LiLaTh2
1.0
3.6321 0.0000 0.0000
0.0000 3.6321 0.0000
0.0000 0.0000 8.9964
Li La Th
1 1 2
Cartesian
0.0000 0.0000 0.0000
0.0000 0.0000 4.4982
1.8160 1.8160 1.9588
1.8160 1.8160 7.0375
```

## Properties
ΔE to the lowest computed polymorph	0.000	eV per atom
space-group type	P4/mmm
DFT formation energy	0.185	eV/atom
crystal system	tetragonal

=====

# 2
VASP calculation (PBE-GGA) on a geometry-optimized RbTlAs2Se structure.

```
RbTlAs2Se
1.0
5.4869 0.0000 0.0000
0.0000 5.4869 0.0000
0.0000 0.0000 5.7303
Rb Tl As Se
1 1 2 1
Cartesian
0.0000 0.0000 0.0000
2.7435 2.7435 2.8651
0.0000 2.7435 2.8651
2.7435 0.0000 2.8651
2.7435 2.7435 0.0000
```

## Properties
ΔE to the lowest computed polymorph	0.000	eV per atom
space-group type	P4/mmm
ΔE_f (raw)	0.361	eV per atom
crystal system	tetragonal

=====

# 3
VASP calculation (PBE-GGA) on a geometry-optimized HfBe5Cu7 structure.

```
HfBe5Cu7
1.0
-2.2327 4.0031 4.0048
2.2327 -4.0031 4.0048
2.2327 4.0031 -4.0048
Hf Be Cu
1 5 7
Cartesian
0.0000 0.0000 0.0000
1.1162 2.0269 -1.9835
1.1165 -1.9763 2.0212
2.2327 0.0000 1.8043
1.1162 5.9794 -1.9835
1.1165 1.9763 2.0212
2.2327 1.6523 0.0563
0.0000 0.0000 2.7451
2.2327 -1.2124 3.9671
2.2327 1.2124 3.9671
0.0000 0.0000 5.1879
0.0000 4.0031 2.2307
0.0000 2.3508 4.0610
```

## Properties
space-group type	Imm2
DFT formation energy	-0.143	eV/atom
crystal system	orthorhombic

=====

# 4
VASP calculation (PBE-GGA) on a geometry-optimized PdNF structure.

```
PdNF
1.0
3.2457 0.0000 0.0000
1.1297 5.0606 0.0000
1.2848 0.1978 5.5054
Pd N F
2 2 2
Cartesian
1.1698 1.5087 0.5446
4.4905 3.7498 4.9607
1.1811 2.4003 2.2373
4.4791 2.8581 3.2681
2.4711 0.6666 4.3312
3.1891 4.5918 1.1741
```

## Properties
ΔE to the lowest computed polymorph	0.000	eV per atom
space-group type	P-1
ΔE_f (raw)	-0.503	eV per atom
crystal system	triclinic

=====

Total magnetic moment per entry: 0.000, 0.400, 0.000, 0.000 μB per atom